The following is a DFT calculation (PBE with a Hubbard U) of a relaxed NaVMoF6 crystal.

Results
- N(E_F): 0.000 states/eV per cell
- Total DFT energy (no corrections): -5.668 eV/atom

The structure in CIF format:
```
data_NaVMoF6
_chemical_formula_sum 'Na2 V2 Mo2 F12'
_space_group_name_H-M_alt 'P -3 1 c'
_space_group_IT_number 163
_space_group_name_Hall '-P 3 2c'
_cell_length_a 5.6281
_cell_length_b 5.6281
_cell_length_c 9.6299
_cell_angle_alpha 90.00
_cell_angle_beta 90.00
_cell_angle_gamma 120.00
loop_
_atom_site_label
_atom_site_type_symbol
_atom_site_fract_x
_atom_site_fract_y
_atom_site_fract_z
_atom_site_occupancy
Na1 Na 0.0000 0.0000 0.0000 1
V1 V 0.3333 0.6667 0.2500 1
Mo1 Mo 0.3333 0.6667 0.7500 1
F1 F 0.0030 0.3529 0.6382 1
```